# Li3Pt (meta-GGA SCAN, PBEsol geometry)
data_Li3Pt
_space_group_name_H-M_alt 'P 1'
_space_group_IT_number 1
_space_group_name_Hall 'P 1'
_cell_length_a 4.786
_cell_length_b 4.786
_cell_length_c 4.786
_cell_angle_alpha 90.00
_cell_angle_beta 90.00
_cell_angle_gamma 90.00
loop_
_atom_site_label
_atom_site_type_symbol
_atom_site_fract_x
_atom_site_fract_y
_atom_site_fract_z
Li1 Li 0.000 0.250 0.500
Li2 Li 0.000 0.750 0.500
Li3 Li 0.250 0.500 0.000
Li4 Li 0.500 0.000 0.250
Li5 Li 0.500 0.000 0.750
Li6 Li 0.750 0.500 0.000
Pt1 Pt 0.000 0.000 0.000
Pt2 Pt 0.500 0.500 0.500
# Relative energy among the computed polymorphs, meV/atom: 25
# Space group: Pm-3n, No. 223
# DOS(E_F), states/eV/f.u.: 1.15
# Total magnetization, μB per atom: 0.00
# Energy of formation from the pure elements, eV per atom: -0.463